1.
DFT (PBE) results for crystalline V2FeW7 at its relaxed geometry.

Cell: 7.6407 17.0465 2.6552 Å, 90.00 90.00 90.00°
Closest atoms and distances in Å follow each position.
Space group Cmmm (No. 65)
Inequivalent atoms, fractional coordinates:
V (0.0000, 0.2106, 0.0000)  4 W 2.58-2.71, 2 V 2.66
Fe (0.0000, 0.0000, 0.5000)  8 W 2.54, 2 Fe 2.66
W (0.0000, 0.3492, 0.5000)  8 W 2.66-2.89, 2 V 2.71
W (0.0000, 0.5000, 0.0000)  10 W 2.66-2.89
W (0.2023, 0.0893, 0.0000)  2 Fe 2.54, 1 V 2.58, 5 W 2.66-2.84

## Properties
As for the calculated formation energy: 84.2 kJ per mole of atoms. For the total DFT energy (no corrections), the calculation gives -10.86 eV/atom.

---

2.
DFT (PBE) results for crystalline VFeW2 at its relaxed geometry.

Cell: 4.3009 4.3009 3.0596 Å, 90.00 90.00 90.00°
Closest atoms and distances in Å follow each position.
Space group P4/mmm (No. 123)
Inequivalent atoms, fractional coordinates:
V (0.0000, 0.0000, 0.0000)  8 W 2.64
Fe (0.5000, 0.5000, 0.0000)  8 W 2.64
W (0.0000, 0.5000, 0.5000)  4 Fe 2.64, 4 V 2.64

## Properties
As for the calculated formation energy: 3.9 kJ per mole of atoms. For the distance to the lowest polymorph of the same formula, the calculation gives 0 meV/atom. For the total DFT energy (no corrections), the calculation gives -10.83 eV/atom.

---

3.
DFT (PBE) results for crystalline VFe4W at its relaxed geometry.

Cell: 6.6195 6.6195 6.6195 Å, 90.00 90.00 90.00°
Closest atoms and distances in Å follow each position.
Space group F-43m (No. 216)
Inequivalent atoms, fractional coordinates:
V (0.0000, 0.0000, 0.0000)  12 Fe 2.74, 4 W 2.87
Fe (0.1252, 0.1252, 0.6252)  6 Fe 2.34
W (0.2500, 0.2500, 0.2500)  12 Fe 2.74, 4 V 2.87

## Properties
As for the calculated formation energy: -1.2 kJ per mole of atoms. For the total DFT energy (no corrections), the calculation gives -9.33 eV/atom.

---

Copy entry 1 word for word.
DFT (PBE) results for crystalline V2FeW7 at its relaxed geometry.

Cell: 7.6407 17.0465 2.6552 Å, 90.00 90.00 90.00°
Closest atoms and distances in Å follow each position.
Space group Cmmm (No. 65)
Inequivalent atoms, fractional coordinates:
V (0.0000, 0.2106, 0.0000)  4 W 2.58-2.71, 2 V 2.66
Fe (0.0000, 0.0000, 0.5000)  8 W 2.54, 2 Fe 2.66
W (0.0000, 0.3492, 0.5000)  8 W 2.66-2.89, 2 V 2.71
W (0.0000, 0.5000, 0.0000)  10 W 2.66-2.89
W (0.2023, 0.0893, 0.0000)  2 Fe 2.54, 1 V 2.58, 5 W 2.66-2.84

## Properties
As for the calculated formation energy: 84.2 kJ per mole of atoms. For the total DFT energy (no corrections), the calculation gives -10.86 eV/atom.

---

Question: The highest total DFT energy (no corrections) belongs to which entry?
Answer: VFe4W

---

Please write out number 3 again, unchanged.
DFT (PBE) results for crystalline VFe4W at its relaxed geometry.

Cell: 6.6195 6.6195 6.6195 Å, 90.00 90.00 90.00°
Closest atoms and distances in Å follow each position.
Space group F-43m (No. 216)
Inequivalent atoms, fractional coordinates:
V (0.0000, 0.0000, 0.0000)  12 Fe 2.74, 4 W 2.87
Fe (0.1252, 0.1252, 0.6252)  6 Fe 2.34
W (0.2500, 0.2500, 0.2500)  12 Fe 2.74, 4 V 2.87

## Properties
As for the calculated formation energy: -1.2 kJ per mole of atoms. For the total DFT energy (no corrections), the calculation gives -9.33 eV/atom.